P) Here is SrHgB after structural relaxation from OQMD via LeMat-Bulk. Energies are from PBE.

a b c (Å): 4.8175 4.8175 4.8175
angles (deg): 60.00 60.00 60.00
Element x y z (fractional)
B  0.2500  0.2500  0.2500
Hg  0.0000  0.0000  0.0000
Sr  0.7500  0.7500  0.7500

Q) Here is SrHgB after structural relaxation from OQMD via LeMat-Bulk. Energies are from PBE.

a b c (Å): 4.9670 4.9670 4.9670
angles (deg): 60.00 60.00 60.00
Element x y z (fractional)
B  0.2500  0.2500  0.2500
Hg  0.7500  0.7500  0.7500
Sr  0.0000  0.0000  0.0000

R) Here is SrHgB after structural relaxation from OQMD via LeMat-Bulk. Energies are from PBE.

a b c (Å): 4.6269 4.6269 4.6269
angles (deg): 60.00 60.00 60.00
Element x y z (fractional)
Hg  0.2500  0.2500  0.2500
Sr  0.7500  0.7500  0.7500
B  0.0000  0.0000  0.0000

The structure with the least stability is Q).

P) Here is TaHgB4 after structural relaxation from OQMD via LeMat-Bulk. Energies are from PBE.

a b c (Å): 4.9396 4.9396 4.9396
angles (deg): 143.73 116.31 75.56
Element x y z (fractional)
B  0.0710  0.7404  0.3306
B  0.5903  0.2596  0.3306
B  0.9290  0.2596  0.6694
B  0.4097  0.7404  0.6694
Hg  0.5000  0.5000  0.0000
Ta  0.0000  0.0000  0.0000

Q) Here is TaHgB4 after structural relaxation from OQMD via LeMat-Bulk. Energies are from PBE.

a b c (Å): 3.0407 3.0407 9.0963
angles (deg): 90.00 90.00 120.00
Element x y z (fractional)
B  0.6667  0.3333  0.1804
B  0.3333  0.6667  0.8196
B  0.6667  0.3333  0.8196
B  0.3333  0.6667  0.1804
Ta  0.0000  0.0000  0.0000
Hg  0.0000  0.0000  0.5000

The structure with the least stability is P).

P) Here is TbHgB4 after structural relaxation from OQMD via LeMat-Bulk. Energies are from PBE.

a b c (Å): 3.2249 3.2249 7.9376
angles (deg): 90.00 90.00 120.00
Element x y z (fractional)
Tb  0.0000  0.0000  0.5000
B  0.3333  0.6667  0.7414
B  0.3333  0.6667  0.2586
B  0.6667  0.3333  0.2586
B  0.6667  0.3333  0.7414
Hg  0.0000  0.0000  0.0000

Q) Here is TbHgB4 after structural relaxation from OQMD via LeMat-Bulk. Energies are from PBE.

a b c (Å): 5.2265 5.2265 5.2265
angles (deg): 144.23 118.85 72.91
Element x y z (fractional)
B  0.5511  0.2333  0.3178
B  0.9155  0.2333  0.6822
B  0.4489  0.7667  0.6822
B  0.0845  0.7667  0.3178
Hg  0.0000  0.0000  0.0000
Tb  0.5000  0.5000  0.0000

The structure with the least stability is P).

P) Here is UHgB after structural relaxation from OQMD via LeMat-Bulk. Energies are from PBE.

a b c (Å): 4.3866 4.3866 4.3866
angles (deg): 60.00 60.00 60.00
Element x y z (fractional)
Hg  0.2500  0.2500  0.2500
B  0.0000  0.0000  0.0000
U  0.7500  0.7500  0.7500

Q) Here is UHgB after structural relaxation from OQMD via LeMat-Bulk. Energies are from PBE.

a b c (Å): 4.6357 4.6357 4.6357
angles (deg): 60.00 60.00 60.00
Element x y z (fractional)
B  0.2500  0.2500  0.2500
U  0.0000  0.0000  0.0000
Hg  0.7500  0.7500  0.7500

The structure with the least stability is Q).

P) Here is HgB4W after structural relaxation from OQMD via LeMat-Bulk. Energies are from PBE.

a b c (Å): 4.8769 4.8769 4.8769
angles (deg): 143.52 114.87 77.01
Element x y z (fractional)
B  0.9072  0.2439  0.6633
B  0.4194  0.7561  0.6633
B  0.0928  0.7561  0.3367
B  0.5806  0.2439  0.3367
Hg  0.0000  0.0000  0.0000
W  0.5000  0.5000  0.0000

Q) Here is HgB4W after structural relaxation from OQMD via LeMat-Bulk. Energies are from PBE.

a b c (Å): 2.9758 2.9758 9.6193
angles (deg): 90.00 90.00 120.00
Element x y z (fractional)
B  0.6667  0.3333  0.1721
B  0.3333  0.6667  0.1721
B  0.3333  0.6667  0.8280
B  0.6667  0.3333  0.8280
Hg  0.0000  0.0000  0.5000
W  0.0000  0.0000  0.0000

The structure with the least stability is P).

P) Here is YHgB4 after structural relaxation from OQMD via LeMat-Bulk. Energies are from PBE.

a b c (Å): 3.2298 3.2298 7.8925
angles (deg): 90.00 90.00 120.00
Element x y z (fractional)
B  0.3333  0.6667  0.2598
B  0.6667  0.3333  0.2598
B  0.3333  0.6667  0.7402
B  0.6667  0.3333  0.7402
Y  0.0000  0.0000  0.5000
Hg  0.0000  0.0000  0.0000

Q) Here is YHgB4 after structural relaxation from OQMD via LeMat-Bulk. Energies are from PBE.

a b c (Å): 5.2070 5.2070 5.2070
angles (deg): 144.10 118.64 73.18
Element x y z (fractional)
Hg  0.0000  0.0000  0.0000
Y  0.5000  0.5000  0.0000
B  0.5514  0.2332  0.3182
B  0.0850  0.7668  0.3182
B  0.4486  0.7668  0.6818
B  0.9150  0.2332  0.6818

The structure with the least stability is P).

P) Here is YHgB after structural relaxation from OQMD via LeMat-Bulk. Energies are from PBE.

a b c (Å): 4.4948 4.4948 4.4948
angles (deg): 60.00 60.00 60.00
Element x y z (fractional)
Y  0.7500  0.7500  0.7500
Hg  0.0000  0.0000  0.0000
B  0.2500  0.2500  0.2500

Q) Here is YHgB after structural relaxation from OQMD via LeMat-Bulk. Energies are from PBE.

a b c (Å): 4.3321 4.3321 4.3321
angles (deg): 60.00 60.00 60.00
Element x y z (fractional)
B  0.0000  0.0000  0.0000
Y  0.7500  0.7500  0.7500
Hg  0.2500  0.2500  0.2500

The structure with the least stability is P).

P) Here is ZnHgB4 after structural relaxation from OQMD via LeMat-Bulk. Energies are from PBE.

a b c (Å): 3.0130 3.0130 9.1897
angles (deg): 90.00 90.00 120.00
Element x y z (fractional)
Hg  0.0000  0.0000  0.5000
B  0.3333  0.6667  0.1810
B  0.6667  0.3333  0.8190
B  0.6667  0.3333  0.1810
B  0.3333  0.6667  0.8190
Zn  0.0000  0.0000  0.0000

Q) Here is ZnHgB4 after structural relaxation from OQMD via LeMat-Bulk. Energies are from PBE.

a b c (Å): 4.9604 4.9604 4.9604
angles (deg): 143.59 115.47 76.42
Element x y z (fractional)
B  0.5684  0.2390  0.3294
B  0.9096  0.2390  0.6706
B  0.4316  0.7610  0.6706
B  0.0904  0.7610  0.3294
Hg  0.0000  0.0000  0.0000
Zn  0.5000  0.5000  0.0000

The structure with the least stability is Q).